Pm2PrSi4 | PBE-GGA | relaxed

Geometry as POSCAR:
```
Pm2PrSi4
1.0
3.848 0.000 -0.877
-0.230 4.309 -1.007
0.123 -0.072 9.417
Pm Si Pr
2 4 1
Cartesian
3.038 3.479 4.447
0.704 0.758 3.086
0.142 2.431 0.621
2.377 2.767 1.550
1.364 1.470 5.983
3.600 1.807 6.912
1.924 0.000 -0.439
```

Results
D(E_F), states/eV/cell: 4.36
Theoretical density, g/cm3: 5.77
Uncorrected formation energy, eV/atom: -0.744